# 1
Tb2TmTeO8: optimized geometry, PBE.

Geometry as POSCAR:
```
Tb2TmTeO8
1.0
3.540 -3.608 0.000
3.540 3.608 0.000
0.000 0.000 6.825
Tb Tm Te O
2 1 1 8
Direct
0.000 0.000 0.250
0.000 0.000 0.750
0.500 0.500 0.000
0.500 0.500 0.500
0.196 0.196 0.000
0.226 0.226 0.500
0.319 0.681 0.285
0.319 0.681 0.715
0.681 0.319 0.285
0.681 0.319 0.715
0.774 0.774 0.500
0.804 0.804 0.000
```

V in A^3/atom: 14.53
Space-group type: Cmmm (65)
Magnetization in μB/f.u.: 0.8

# 2
TbYTe2O: optimized geometry, PBE.

Geometry as POSCAR:
```
TbYTe2O
1.0
4.134 0.000 0.000
0.000 4.134 0.000
0.000 0.000 15.848
Tb Y Te O
2 2 4 2
Direct
0.250 0.250 0.065
0.750 0.750 0.935
0.250 0.250 0.635
0.750 0.750 0.365
0.250 0.250 0.417
0.250 0.250 0.816
0.750 0.750 0.184
0.750 0.750 0.583
0.250 0.750 0.000
0.750 0.250 0.000
```

V in A^3/atom: 27.08
Space-group type: P4/nmm (129)
Magnetization in μB/f.u.: 0.0

# 3
TbZnTeO6: optimized geometry, PBE.

Geometry as POSCAR:
```
TbZnTeO6
1.0
5.239 0.000 0.000
-2.619 4.537 0.000
0.000 0.000 9.882
Tb Zn Te O
2 2 2 12
Direct
0.000 0.000 0.000
0.000 0.000 0.500
0.333 0.667 0.250
0.667 0.333 0.750
0.333 0.667 0.750
0.667 0.333 0.250
0.020 0.369 0.638
0.020 0.651 0.862
0.349 0.369 0.862
0.349 0.980 0.638
0.369 0.020 0.138
0.369 0.349 0.362
0.631 0.651 0.638
0.631 0.980 0.862
0.651 0.020 0.362
0.651 0.631 0.138
0.980 0.349 0.138
0.980 0.631 0.362
```

V in A^3/atom: 13.05
Space-group type: P-31c (163)
Magnetization in μB/f.u.: 1.1

# 4
TbZrTeO6: optimized geometry, PBE.

Geometry as POSCAR:
```
TbZrTeO6
1.0
5.500 0.000 0.000
-2.750 4.763 0.000
0.000 0.000 9.736
Tb Zr Te O
2 2 2 12
Direct
0.000 0.000 0.000
0.000 0.000 0.500
0.333 0.667 0.250
0.667 0.333 0.750
0.333 0.667 0.750
0.667 0.333 0.250
0.009 0.355 0.636
0.009 0.654 0.864
0.346 0.355 0.864
0.346 0.991 0.636
0.355 0.009 0.136
0.355 0.346 0.364
0.645 0.654 0.636
0.645 0.991 0.864
0.654 0.009 0.364
0.654 0.645 0.136
0.991 0.346 0.136
0.991 0.645 0.364
```

V in A^3/atom: 14.17
Space-group type: P-31c (163)
Magnetization in μB/f.u.: 0.0

# 5
TbThO4: optimized geometry, PBE.

Geometry as POSCAR:
```
TbThO4
1.0
3.940 0.000 0.000
0.000 3.940 0.000
0.000 0.000 5.484
Tb Th O
1 1 4
Direct
0.000 0.000 0.000
0.500 0.500 0.500
0.000 0.500 0.249
0.000 0.500 0.751
0.500 0.000 0.249
0.500 0.000 0.751
```

V in A^3/atom: 14.19
Space-group type: P4/mmm (123)
Magnetization in μB/f.u.: 1.0

# 6
TbTh4O10: optimized geometry, PBE.

Geometry as POSCAR:
```
TbTh4O10
1.0
1.980 1.143 16.091
-1.980 1.143 16.091
0.000 -2.286 16.091
Tb Th O
1 4 10
Direct
0.000 0.000 0.000
0.200 0.200 0.200
0.399 0.399 0.399
0.601 0.601 0.601
0.800 0.800 0.800
0.049 0.049 0.049
0.150 0.150 0.150
0.251 0.251 0.251
0.349 0.349 0.349
0.449 0.449 0.449
0.551 0.551 0.551
0.651 0.651 0.651
0.749 0.749 0.749
0.850 0.850 0.850
0.951 0.951 0.951
```

V in A^3/atom: 14.57
Space-group type: R-3m (166)
Magnetization in μB/f.u.: 1.1

# 7
TbThO4: optimized geometry, PBE.

Geometry as POSCAR:
```
TbThO4
1.0
-2.767 2.767 5.561
2.767 -2.767 5.561
2.767 2.767 -5.561
Tb Th O
2 2 8
Direct
0.375 0.625 0.750
0.625 0.375 0.250
0.125 0.875 0.250
0.875 0.125 0.750
0.000 0.251 0.251
0.000 0.749 0.749
0.251 0.000 0.751
0.251 0.500 0.251
0.500 0.251 0.751
0.500 0.749 0.249
0.749 0.000 0.249
0.749 0.500 0.749
```

V in A^3/atom: 14.19
Space-group type: I4_1/amd (141)
Magnetization in μB/f.u.: 1.0

# 8
TbThTi2O8: optimized geometry, PBE.

Geometry as POSCAR:
```
TbThTi2O8
1.0
-2.620 2.620 5.655
2.620 -2.620 5.655
2.620 2.620 -5.655
Tb Th Ti O
1 1 2 8
Direct
0.000 0.000 0.000
0.250 0.750 0.500
0.500 0.500 0.000
0.750 0.250 0.500
0.251 0.670 0.089
0.330 0.420 0.581
0.408 0.006 0.084
0.580 0.161 0.911
0.676 0.592 0.598
0.839 0.749 0.419
0.922 0.324 0.916
0.994 0.078 0.402
```

V in A^3/atom: 12.94
Space-group type: I-4 (82)
Magnetization in μB/f.u.: 1.0

# 9
Tb2TiO5: optimized geometry, PBE.

Geometry as POSCAR:
```
Tb2TiO5
1.0
10.486 0.000 0.000
0.000 3.727 0.000
0.000 0.000 11.349
Tb Ti O
8 4 20
Direct
0.114 0.250 0.223
0.136 0.250 0.556
0.364 0.750 0.056
0.386 0.750 0.723
0.614 0.250 0.277
0.636 0.250 0.944
0.864 0.750 0.444
0.886 0.750 0.777
0.175 0.250 0.880
0.325 0.750 0.380
0.675 0.250 0.620
0.825 0.750 0.120
0.007 0.750 0.605
0.009 0.250 0.845
0.224 0.250 0.042
0.237 0.750 0.883
0.242 0.750 0.229
0.258 0.250 0.729
0.263 0.250 0.383
0.276 0.750 0.542
0.491 0.750 0.345
0.493 0.250 0.105
0.507 0.750 0.895
0.509 0.250 0.655
0.724 0.250 0.458
0.737 0.750 0.617
0.742 0.750 0.271
0.758 0.250 0.771
0.763 0.250 0.117
0.776 0.750 0.958
0.991 0.750 0.155
0.993 0.250 0.395
```

V in A^3/atom: 13.86
Space-group type: Pnma (62)
E above lowest polymorph in meV/atom: 0
Magnetization in μB/f.u.: 0.0

# 10
Tb5Ti2O12: optimized geometry, PBE.

Geometry as POSCAR:
```
Tb5Ti2O12
1.0
6.211 -2.939 0.000
6.211 2.939 0.000
-2.167 0.000 6.981
Tb Ti O
5 2 12
Direct
0.000 0.000 0.000
0.305 0.305 0.144
0.308 0.308 0.663
0.692 0.692 0.337
0.695 0.695 0.856
0.243 0.757 0.500
0.757 0.243 0.500
0.001 0.001 0.319
0.096 0.598 0.926
0.100 0.573 0.416
0.402 0.904 0.074
0.427 0.900 0.584
0.499 0.499 0.684
0.501 0.501 0.316
0.573 0.100 0.416
0.598 0.096 0.926
0.900 0.427 0.584
0.904 0.402 0.074
0.999 0.999 0.681
```

V in A^3/atom: 13.41
Space-group type: C2/m (12)
Magnetization in μB/f.u.: 0.8

# 11
TbTi2O5: optimized geometry, PBE.

Geometry as POSCAR:
```
TbTi2O5
1.0
3.551 0.000 0.000
0.000 11.924 0.000
0.000 0.000 4.954
Tb Ti O
2 4 10
Direct
0.250 0.250 0.123
0.750 0.750 0.877
0.250 0.595 0.421
0.250 0.905 0.421
0.750 0.095 0.579
0.750 0.405 0.579
0.250 0.080 0.415
0.250 0.420 0.415
0.250 0.637 0.076
0.250 0.750 0.575
0.250 0.863 0.076
0.750 0.137 0.924
0.750 0.250 0.425
0.750 0.363 0.924
0.750 0.580 0.585
0.750 0.920 0.585
```

V in A^3/atom: 13.11
Space-group type: Pmmn (59)
Magnetization in μB/f.u.: 0.1

# 12
TbTiO3: optimized geometry, PBE.

Geometry as POSCAR:
```
TbTiO3
1.0
6.043 0.000 0.000
0.000 3.768 0.000
-1.807 0.000 6.012
Tb Ti O
2 2 6
Direct
0.029 0.250 0.251
0.971 0.750 0.749
0.498 0.250 0.706
0.502 0.750 0.294
0.164 0.250 0.653
0.177 0.750 0.113
0.438 0.250 0.365
0.562 0.750 0.635
0.823 0.250 0.887
0.836 0.750 0.347
```

V in A^3/atom: 13.69
Space-group type: P2_1/m (11)
Magnetization in μB/f.u.: 1.0

# 13
TbTiO3: optimized geometry, PBE.

Geometry as POSCAR:
```
TbTiO3
1.0
1.587 -5.752 0.000
1.587 5.752 0.000
0.000 0.000 7.122
Tb Ti O
2 2 6
Direct
0.218 0.782 0.750
0.782 0.218 0.250
0.045 0.955 0.250
0.955 0.045 0.750
0.157 0.843 0.070
0.157 0.843 0.430
0.434 0.566 0.250
0.566 0.434 0.750
0.843 0.157 0.570
0.843 0.157 0.930
```

V in A^3/atom: 13.00
Space-group type: Cmcm (63)
Magnetization in μB/f.u.: 0.0

# 14
Tb3TiO: optimized geometry, PBE.

Geometry as POSCAR:
```
Tb3TiO
1.0
4.797 0.000 0.000
0.000 4.797 0.000
0.000 0.000 4.797
Tb Ti O
3 1 1
Direct
0.000 0.000 0.500
0.000 0.500 0.000
0.500 0.000 0.000
0.500 0.500 0.500
0.000 0.000 0.000
```

V in A^3/atom: 22.08
Space-group type: Pm-3m (221)
Magnetization in μB/f.u.: 1.1

# 15
Tb2TiO5: optimized geometry, PBE.

Geometry as POSCAR:
```
Tb2TiO5
1.0
7.580 0.000 0.000
0.000 3.622 0.000
0.000 0.000 15.623
Tb Ti O
8 4 20
Direct
0.126 0.250 0.240
0.144 0.250 0.575
0.356 0.750 0.075
0.374 0.750 0.740
0.626 0.250 0.260
0.644 0.250 0.925
0.856 0.750 0.425
0.874 0.750 0.760
0.142 0.250 0.918
0.358 0.750 0.418
0.642 0.250 0.582
0.858 0.750 0.082
0.085 0.750 0.148
0.107 0.750 0.671
0.111 0.750 0.957
0.141 0.750 0.487
0.231 0.750 0.319
0.269 0.250 0.819
0.359 0.250 0.987
0.389 0.250 0.457
0.393 0.250 0.171
0.415 0.250 0.648
0.585 0.750 0.352
0.607 0.750 0.829
0.611 0.750 0.543
0.641 0.750 0.013
0.731 0.750 0.181
0.769 0.250 0.681
0.859 0.250 0.513
0.889 0.250 0.043
0.893 0.250 0.329
0.915 0.250 0.852
```

V in A^3/atom: 13.40
Space-group type: Pnma (62)
E above lowest polymorph in meV/atom: 47
Magnetization in μB/f.u.: 0.0

# 16
TbTiO3: optimized geometry, PBE.

Geometry as POSCAR:
```
TbTiO3
1.0
5.724 0.000 0.000
0.000 7.703 0.000
0.000 0.000 5.355
Tb Ti O
4 4 12
Direct
0.071 0.250 0.022
0.429 0.750 0.522
0.571 0.250 0.478
0.929 0.750 0.978
0.000 0.000 0.500
0.000 0.500 0.500
0.500 0.000 0.000
0.500 0.500 0.000
0.043 0.750 0.382
0.198 0.557 0.809
0.198 0.943 0.809
0.302 0.057 0.309
0.302 0.443 0.309
0.457 0.250 0.882
0.543 0.750 0.118
0.698 0.557 0.691
0.698 0.943 0.691
0.802 0.057 0.191
0.802 0.443 0.191
0.957 0.250 0.618
```

V in A^3/atom: 11.81
Space-group type: Pnma (62)
Magnetization in μB/f.u.: 1.0

# 17
TbTiO: optimized geometry, PBE.

Geometry as POSCAR:
```
TbTiO
1.0
11.230 0.000 0.000
0.000 1.579 2.738
0.000 -1.579 2.738
Tb Ti O
2 2 2
Direct
0.145 0.000 0.000
0.855 0.000 0.000
0.383 0.669 0.669
0.617 0.669 0.669
0.000 0.666 0.666
0.500 0.003 0.003
```

V in A^3/atom: 16.18
Space-group type: Amm2 (38)
Magnetization in μB/f.u.: 0.3

# 18
Tb3TiO6: optimized geometry, PBE.

Geometry as POSCAR:
```
Tb3TiO6
1.0
4.550 -5.457 0.000
4.550 5.457 0.000
0.000 0.000 5.484
Tb Ti O
6 2 12
Direct
0.104 0.896 0.500
0.196 0.409 0.552
0.409 0.196 0.052
0.591 0.804 0.552
0.804 0.591 0.052
0.896 0.104 0.000
0.339 0.661 0.070
0.661 0.339 0.570
0.101 0.598 0.240
0.141 0.171 0.277
0.171 0.141 0.777
0.279 0.721 0.743
0.402 0.899 0.240
0.484 0.516 0.331
0.516 0.484 0.831
0.598 0.101 0.740
0.721 0.279 0.243
0.829 0.859 0.277
0.859 0.829 0.777
0.899 0.402 0.740
```

V in A^3/atom: 13.62
Space-group type: Cmc2_1 (36)
Magnetization in μB/f.u.: 0.0

Energy relative to the elements, uncorrected / eV/atom: -2.516 -2.081 -1.708 -2.396 -3.305 -3.655 -3.302 -3.181 -3.444 -3.327 -3.149 -3.143 -2.981 -1.034 -3.397 -3.210 -1.398 -3.323